No. 1
A plane-wave DFT calculation with PBE-GGA was carried out for an optimized crystal structure of ReTcMo2.

Computed properties:
Symmetry = Cm (8)

Cell: 4.846 4.846 4.839 Å, 99.24 99.24 33.44°
Atoms (fractional coordinates):
Re  0.000  0.000  0.000
Tc  0.739  0.739  0.245
Mo  0.249  0.249  0.754
Mo  0.489  0.489  0.490



No. 2
A plane-wave DFT calculation with PBE-GGA was carried out for an optimized crystal structure of ReTcMo2.

Computed properties:
Symmetry = Pmm2 (25)

Cell: 2.780 3.954 5.611 Å, 90.00 90.00 90.00°
Atoms (fractional coordinates):
Re  0.000  0.000  0.000
Tc  0.500  0.500  0.243
Mo  0.000  0.000  0.490
Mo  0.500  0.500  0.752



No. 3
A plane-wave DFT calculation with PBE-GGA was carried out for an optimized crystal structure of Tl2ReTcMo.

Computed properties:
Symmetry = P4/mmm (123)

Cell: 5.297 5.297 4.726 Å, 90.00 90.00 90.00°
Atoms (fractional coordinates):
Tl  0.000  0.500  0.000
Tl  0.500  0.000  0.000
Re  0.000  0.000  0.500
Tc  0.500  0.500  0.500
Mo  0.000  0.000  0.000



No. 4
A plane-wave DFT calculation with PBE-GGA was carried out for an optimized crystal structure of UReTcMo.

Computed properties:
Symmetry = F-43m (216)

Cell: 4.605 4.605 4.605 Å, 60.00 60.00 60.00°
Atoms (fractional coordinates):
U  0.000  0.000  0.000
Re  0.250  0.250  0.250
Tc  0.750  0.750  0.750
Mo  0.500  0.500  0.500



No. 5
A plane-wave DFT calculation with PBE-GGA was carried out for an optimized crystal structure of VReTcMo.

Computed properties:
Symmetry = P4mm (99)

Cell: 3.073 3.073 6.213 Å, 90.00 90.00 90.00°
Atoms (fractional coordinates):
V  0.000  0.000  0.000
Re  0.500  0.500  0.245
Tc  0.500  0.500  0.768
Mo  0.000  0.000  0.500



No. 6
A plane-wave DFT calculation with PBE-GGA was carried out for an optimized crystal structure of VReTcMo.

Computed properties:
Symmetry = F-43m (216)

Cell: 4.370 4.370 4.370 Å, 60.00 60.00 60.00°
Atoms (fractional coordinates):
V  0.000  0.000  0.000
Re  0.750  0.750  0.750
Tc  0.250  0.250  0.250
Mo  0.500  0.500  0.500



Number 1: DOS at the Fermi energy 4.0 states/eV/cell, energy of formation from the pure elements 18 kJ/mol of atoms. Number 2: DOS at the Fermi energy 4.1 states/eV/cell, energy of formation from the pure elements 19 kJ/mol of atoms. Number 3: DOS at the Fermi energy 4.8 states/eV/cell, energy of formation from the pure elements 193 kJ/mol of atoms. Number 4: DOS at the Fermi energy 7.4 states/eV/cell, energy of formation from the pure elements 20 kJ/mol of atoms. Number 5: DOS at the Fermi energy 2.9 states/eV/cell, energy of formation from the pure elements -15 kJ/mol of atoms. Number 6: DOS at the Fermi energy 3.8 states/eV/cell, energy of formation from the pure elements -13 kJ/mol of atoms.